1.
# CsLaGeAs2

A relaxed CsLaGeAs2 crystal (PBE, Alexandria).

a = 5.608 Å, b = 5.608 Å, c = 5.422 Å
α = 90.00°, β = 90.00°, γ = 90.00°
Positions (direct):
Cs: 0.000 0.000 0.000
La: 0.500 0.500 0.500
Ge: 0.000 0.000 0.500
As: 0.000 0.500 0.000
As: 0.500 0.000 0.000

Values from the calculation:
Symmetry ... P4/mmm
DFT formation energy ... 0.93 eV/atom
Volume ... 34.1 Å³ per atom

2.
# CaFeCo2

A relaxed CaFeCo2 crystal (PBE, Alexandria).

a = 3.125 Å, b = 2.987 Å, c = 7.352 Å
α = 65.98°, β = 90.00°, γ = 90.00°
Site moments in Bohr magnetons follow the coordinates.
Positions (direct):
Fe: 0.000 0.578 0.422  2.59
Ca: 0.500 0.743 0.757  -0.12
Co: 0.000 0.926 0.074  1.52
Co: 0.500 0.253 0.247  1.73

Values from the calculation:
Symmetry ... Pmm2
DFT formation energy ... 0.34 eV/atom
Volume ... 15.7 Å³ per atom
Energy relative to the lowest polymorph listed for this composition ... 0.751 eV per formula unit

3.
# AcMg2Tl2In

A relaxed AcMg2Tl2In crystal (PBE, Alexandria).

a = 5.114 Å, b = 9.483 Å, c = 7.047 Å
α = 90.00°, β = 90.00°, γ = 90.00°
Positions (direct):
Tl: 0.000 0.674 0.757
Ac: 0.500 0.500 0.000
Tl: 0.500 0.174 0.743
Mg: 0.500 0.151 0.203
Mg: 0.500 0.849 0.797
Tl: 0.000 0.326 0.243
In: 0.500 0.500 0.500
Mg: 0.000 0.651 0.297
Tl: 0.500 0.826 0.257
Ac: 0.000 0.000 0.500
In: 0.000 0.000 0.000
Mg: 0.000 0.349 0.703

Values from the calculation:
Symmetry ... Pnnm
DFT formation energy ... -0.17 eV/atom
Volume ... 28.5 Å³ per atom

- The highest DFT formation energy belongs to which entry?
  CsLaGeAs2

Please write out number 2 again, unchanged.
# CaFeCo2

A relaxed CaFeCo2 crystal (PBE, Alexandria).

a = 3.125 Å, b = 2.987 Å, c = 7.352 Å
α = 65.98°, β = 90.00°, γ = 90.00°
Site moments in Bohr magnetons follow the coordinates.
Positions (direct):
Fe: 0.000 0.578 0.422  2.59
Ca: 0.500 0.743 0.757  -0.12
Co: 0.000 0.926 0.074  1.52
Co: 0.500 0.253 0.247  1.73

Values from the calculation:
Symmetry ... Pmm2
DFT formation energy ... 0.34 eV/atom
Volume ... 15.7 Å³ per atom
Energy relative to the lowest polymorph listed for this composition ... 0.751 eV per formula unit

Please write out number 2 again, unchanged.
# CaFeCo2

A relaxed CaFeCo2 crystal (PBE, Alexandria).

a = 3.125 Å, b = 2.987 Å, c = 7.352 Å
α = 65.98°, β = 90.00°, γ = 90.00°
Site moments in Bohr magnetons follow the coordinates.
Positions (direct):
Fe: 0.000 0.578 0.422  2.59
Ca: 0.500 0.743 0.757  -0.12
Co: 0.000 0.926 0.074  1.52
Co: 0.500 0.253 0.247  1.73

Values from the calculation:
Symmetry ... Pmm2
DFT formation energy ... 0.34 eV/atom
Volume ... 15.7 Å³ per atom
Energy relative to the lowest polymorph listed for this composition ... 0.751 eV per formula unit